HoBiSe3 PBE relaxed; E above lowest polymorph = 22 meV per atom; formation energy (no corrections) = -1.09 eV per atom; VASP energy = -48.77 eV per cell; space-group type = Cmc2_1 (36); magnetization = 0.00 Bohr magnetons per cell
1.0
-1.227 -2.917 -2.662
-0.846 -4.641 5.476
-9.510 4.664 2.485
Se Bi Ho
6 2 2
direct
0.905 0.340 0.811
0.249 0.163 0.497
0.414 0.809 0.828
0.586 0.309 0.172
0.095 0.840 0.189
0.751 0.663 0.503
0.849 0.991 0.698
0.151 0.491 0.302
0.668 0.991 0.335
0.332 0.491 0.665

SrZrI6 PBE relaxed; DOS(E_F) = 0.0 states/eV per cell; formation energy (no corrections) = -1.16 eV per atom; VASP energy = -28.79 eV per cell; space-group type = C2/m (12); magnetization = 0.00 Bohr magnetons per cell
1.0
8.682 -0.891 -2.419
-4.560 5.827 -1.819
-0.111 0.859 7.891
I Zr Sr
6 1 1
direct
0.133 0.860 0.699
0.867 0.140 0.301
0.739 0.463 0.000
0.261 0.537 0.000
0.434 0.162 0.301
0.566 0.838 0.699
0.500 0.000 0.000
0.000 0.000 0.000

La4PtBrCl2 PBE relaxed; DOS(E_F) = 5.9 states/eV per cell; formation energy (no corrections) = -1.42 eV per atom; VASP energy = -42.45 eV per cell; space-group type = P2/m (10); magnetization = 0.00 Bohr magnetons per cell
1.0
4.175 0.000 0.000
0.000 7.231 -0.048
0.000 2.644 7.367
Br Cl La Pt
1 2 4 1
direct
0.000 0.500 0.500
0.500 0.000 0.500
0.000 0.000 0.000
0.500 0.235 0.771
0.500 0.765 0.229
0.000 0.261 0.223
0.000 0.739 0.777
0.500 0.500 0.000

La2PtN PBE relaxed; DOS(E_F) = 7.1 states/eV per cell; formation energy (no corrections) = -1.15 eV per atom; VASP energy = -115.31 eV per cell; space-group type = P2/c (13); magnetization = 0.00 Bohr magnetons per cell
1.0
-4.783 1.807 3.020
-2.196 -5.677 -0.080
5.364 -1.027 9.111
La Pt N
8 4 4
direct
0.756 0.958 0.906
0.212 0.526 0.847
0.788 0.026 0.347
0.244 0.042 0.094
0.212 0.974 0.653
0.756 0.542 0.594
0.788 0.474 0.153
0.244 0.458 0.406
0.713 0.445 0.859
0.287 0.555 0.141
0.287 0.945 0.359
0.713 0.055 0.641
0.162 0.914 0.879
0.838 0.414 0.379
0.838 0.086 0.121
0.162 0.586 0.621

LiEu2Gd PBE relaxed; E above lowest polymorph = 0 meV per atom; DOS(E_F) = 6.1 states/eV per cell; DFT formation energy = 78 meV/atom; VASP energy = -36.23 eV per cell; space-group type = P4/mmm (123); magnetization = 22.97 Bohr magnetons per cell
1.0
-0.510 0.850 3.693
-3.767 0.294 -0.588
-1.027 -9.208 1.978
Li Eu Gd
1 2 1
direct
0.500 0.500 0.000
0.000 0.000 0.772
0.000 0.000 0.228
0.500 0.500 0.500